[1]
Density functional theory data (PBE) for an optimized crystal structure of KZnTe2I.

Output
* space group: P4/mmm (123)
* magnetic moment: 4.030 μB per formula unit
* V: 299 Å³/cell
* final energy: -1.503 eV per atom

Geometry as CIF:
```
data_KZnTe2I
_symmetry_space_group_name_H-M 'P 1'
_symmetry_Int_Tables_number 1
_cell_length_a 6.770
_cell_length_b 6.770
_cell_length_c 6.524
_cell_angle_alpha 90.00
_cell_angle_beta 90.00
_cell_angle_gamma 90.00
loop_
_symmetry_equiv_pos_as_xyz
'x,y,z'
loop_
_atom_site_label
_atom_site_fract_x
_atom_site_fract_y
_atom_site_fract_z
_atom_site_occupancy
Zn1 0.500 0.500 0.500 1
Te1 0.000 0.500 0.000 1
Te2 0.500 0.000 0.000 1
K1 0.000 0.000 0.000 1
I1 0.000 0.000 0.500 1
```


[2]
Density functional theory data (PBE) for an optimized crystal structure of La2AlCo.

Output
* space group: C2/m (12)
* magnetic moment: 0.000 μB per formula unit
* V: 109 Å³/cell
* DFT formation energy: -0.0167 eV/atom

Geometry as CIF:
```
data_La2AlCo
_symmetry_space_group_name_H-M 'P 1'
_symmetry_Int_Tables_number 1
_cell_length_a 3.932
_cell_length_b 3.932
_cell_length_c 8.472
_cell_angle_alpha 76.47
_cell_angle_beta 76.47
_cell_angle_gamma 60.16
loop_
_symmetry_equiv_pos_as_xyz
'x,y,z'
loop_
_atom_site_label
_atom_site_fract_x
_atom_site_fract_y
_atom_site_fract_z
_atom_site_occupancy
La1 0.983 0.983 0.050 1
La2 0.517 0.517 0.450 1
Al1 0.750 0.750 0.750 1
Co1 0.250 0.250 0.250 1
```


[3]
Density functional theory data (PBE) for an optimized crystal structure of Pm2Er3Sn3.

Output
* space group: P6_3/mcm (193)
* magnetic moment: 0.000 μB per formula unit
* V: 469 Å³/cell
* DFT formation energy: -0.6809 eV/atom

Geometry as CIF:
```
data_Pm2Er3Sn3
_symmetry_space_group_name_H-M 'P 1'
_symmetry_Int_Tables_number 1
_cell_length_a 6.646
_cell_length_b 9.027
_cell_length_c 9.027
_cell_angle_alpha 120.00
_cell_angle_beta 90.00
_cell_angle_gamma 90.00
loop_
_symmetry_equiv_pos_as_xyz
'x,y,z'
loop_
_atom_site_label
_atom_site_fract_x
_atom_site_fract_y
_atom_site_fract_z
_atom_site_occupancy
Er1 0.750 0.000 0.236 1
Er2 0.750 0.764 0.764 1
Er3 0.750 0.236 0.000 1
Er4 0.250 0.000 0.764 1
Er5 0.250 0.764 0.000 1
Er6 0.250 0.236 0.236 1
Sn1 0.750 0.000 0.609 1
Sn2 0.250 0.609 0.609 1
Sn3 0.250 0.000 0.391 1
Sn4 0.750 0.609 0.000 1
Sn5 0.250 0.391 0.000 1
Sn6 0.750 0.391 0.391 1
Pm1 0.500 0.667 0.333 1
Pm2 0.000 0.333 0.667 1
Pm3 0.500 0.333 0.667 1
Pm4 0.000 0.667 0.333 1
```